A plane-wave DFT calculation with PBE was carried out for a relaxed structure of MnHgTe2.

The structure in POSCAR format:
```
MnHgTe2
1.0
-2.023 -1.834 2.538
5.245 -0.686 3.690
-2.186 7.403 6.375
Te Hg Mn
4 2 2
Direct
0.619 0.323 0.140
0.119 0.823 0.139
0.956 0.435 0.464
0.456 0.935 0.464
0.284 0.544 0.803
0.790 0.046 0.803
0.538 0.630 0.302
0.038 0.129 0.302
```

The value obtained for the uncorrected formation energy is -0.151 eV/atom.


A plane-wave DFT calculation with PBE was carried out for a relaxed structure of Sm8Tl2Bi.

The structure in POSCAR format:
```
Sm8Tl2Bi
1.0
5.726 -0.266 -0.399
-1.313 8.583 -0.607
-1.313 -3.866 7.687
Sm Bi Tl
8 1 2
Direct
0.114 0.313 0.089
0.886 0.911 0.687
0.114 0.089 0.313
0.500 0.776 0.224
0.295 0.597 0.597
0.886 0.687 0.911
0.500 0.224 0.776
0.705 0.403 0.403
0.500 0.000 0.000
0.000 0.307 0.693
0.000 0.693 0.307
```


A plane-wave DFT calculation with PBE was carried out for a relaxed structure of NdAg3Pd2.

The structure in POSCAR format:
```
NdAg3Pd2
1.0
5.389 0.417 0.381
-0.123 5.384 -0.211
-0.687 -1.554 8.185
Ag Pd Nd
6 4 2
Direct
0.611 0.748 0.020
0.831 0.819 0.414
0.344 0.626 0.407
0.169 0.181 0.586
0.389 0.252 0.980
0.656 0.374 0.593
0.406 0.084 0.294
0.888 0.297 0.879
0.112 0.703 0.121
0.594 0.916 0.706
0.109 0.746 0.782
0.891 0.254 0.218
```


A plane-wave DFT calculation with PBE was carried out for a relaxed structure of Ag5Se.

The structure in POSCAR format:
```
Ag5Se
1.0
-1.535 -2.243 -7.099
-1.286 0.901 7.437
-2.110 4.216 -0.875
Ag Se
5 1
Direct
0.994 0.006 0.000
0.447 0.553 0.500
0.665 0.335 0.000
0.784 0.216 0.500
0.331 0.669 0.000
0.113 0.887 0.500
```

The value obtained for the uncorrected formation energy is 0.076 eV/atom.


A plane-wave DFT calculation with PBE was carried out for a relaxed structure of BaIn2Br4.

The structure in POSCAR format:
```
BaIn2Br4
1.0
6.425 0.000 0.000
0.000 6.425 0.000
3.213 3.213 7.906
Br In Ba
4 2 1
Direct
0.800 0.800 0.401
0.000 0.500 0.000
0.500 0.000 0.000
0.200 0.200 0.599
0.380 0.380 0.241
0.620 0.620 0.759
0.000 0.000 0.000
```

The value obtained for the uncorrected formation energy is -1.200 eV/atom. As for the offset from the most stable computed form: 78.8 meV per atom.


A plane-wave DFT calculation with PBE was carried out for a relaxed structure of EuY2.

The structure in POSCAR format:
```
EuY2
1.0
6.863 0.000 0.000
3.431 5.943 0.000
3.431 1.981 5.603
Y Eu
4 2
Direct
0.625 0.625 0.625
0.625 0.625 0.125
0.625 0.125 0.625
0.125 0.625 0.625
0.250 0.250 0.250
0.000 0.000 0.000
```

As for the offset from the most stable computed form: 178.7 meV per atom.


A plane-wave DFT calculation with PBE was carried out for a relaxed structure of MgPaI.

The structure in POSCAR format:
```
MgPaI
1.0
3.489 0.000 0.000
-1.745 3.021 0.000
0.000 0.000 16.966
Pa I Mg
2 2 2
Direct
0.665 0.330 0.668
0.665 0.330 0.332
0.332 0.664 0.192
0.332 0.664 0.808
0.341 0.683 0.000
0.331 0.663 0.500
```

The value obtained for the uncorrected formation energy is 0.015 eV/atom.


Record-wise total DFT energy (no corrections) values, in eV per atom: -4.090 -4.389 -4.284 -2.881 -3.213 -7.497 -4.199
Record-wise magnetization values, in μB/f.u.: 2.75 0.00 0.00 0.00 0.00 7.92 0.00